# 1
A relaxed structure of AcSmZn2Sn2, computed with PBE.

Geometry as POSCAR:
```
AcSmZn2Sn2
1.0
4.552 0.000 0.000
-2.276 3.942 0.000
0.000 0.000 8.887
Ac Sm Zn Sn
1 1 2 2
Direct
0.000 0.000 0.000
0.000 0.000 0.500
0.333 0.667 0.709
0.667 0.333 0.291
0.333 0.667 0.258
0.667 0.333 0.742
```

total energy	-3.8031	eV/atom
energy of formation from the pure elements	-13.212	kcal/mol of atoms

=====

# 2
A relaxed structure of BaLa2Mo, computed with PBE.

Geometry as POSCAR:
```
BaLa2Mo
1.0
-1.819 3.281 5.853
1.819 -3.281 5.853
1.819 3.281 -5.853
Ba La Mo
1 2 1
Direct
0.000 0.000 0.000
0.311 0.811 0.500
0.689 0.189 0.500
0.500 0.500 0.000
```

total energy	-5.1515	eV/atom
energy of formation from the pure elements	11.546	kcal/mol of atoms
relative energy among the computed polymorphs	0.147	eV/atom

=====

# 3
A relaxed structure of FeNiOs3, computed with PBE.

Geometry as POSCAR:
```
FeNiOs3
1.0
4.341 0.000 0.000
0.000 4.341 0.000
0.000 0.000 4.341
Fe Ni Os
1 1 3
Direct
0.000 0.000 0.000
0.500 0.500 0.500
0.000 0.500 0.500
0.500 0.000 0.500
0.500 0.500 0.000
```

total energy	-7.3798	eV/atom
energy of formation from the pure elements	50.891	kcal/mol of atoms
relative energy among the computed polymorphs	0.281	eV/atom

=====

| no. | magnetization (μB per cell) |
| --- | --- |
| 1 | 0.00 |
| 2 | 0.00 |
| 3 | 0.00 |